Entry from the Alexandria database: a geometry-optimized RbNa2MoI8 structure (PBE).

a = 7.491 Å, b = 6.601 Å, c = 10.406 Å
α = 89.82°, β = 89.98°, γ = 90.95°
Fractional positions:
Rb (0.000, 0.000, 0.500)
Na (0.500, 0.499, 0.783)
Na (0.500, 0.501, 0.217)
Mo (0.000, 0.000, 0.000)
I (0.136, 0.754, 0.193)
I (0.681, 0.777, 0.999)
I (0.862, 0.244, 0.192)
I (0.864, 0.246, 0.807)
I (0.319, 0.223, 0.001)
I (0.138, 0.756, 0.808)
I (0.512, 0.751, 0.500)
I (0.488, 0.249, 0.500)

Properties
SG: No. 2
volume: 42.9 Å³ per atom

---

Entry from the Alexandria database: a geometry-optimized Rb2NaMoI6 structure (PBE).

a = 8.439 Å, b = 8.439 Å, c = 8.439 Å
α = 60.00°, β = 60.00°, γ = 60.00°
Fractional positions:
Rb (0.750, 0.750, 0.750)
Rb (0.250, 0.250, 0.250)
Na (0.500, 0.500, 0.500)
Mo (0.000, 0.000, 0.000)
I (0.764, 0.236, 0.236)
I (0.236, 0.236, 0.764)
I (0.236, 0.764, 0.764)
I (0.236, 0.764, 0.236)
I (0.764, 0.236, 0.764)
I (0.764, 0.764, 0.236)

Properties
SG: No. 225
volume: 42.5 Å³ per atom

---

Entry from the Alexandria database: a geometry-optimized Na2MoRhI structure (PBE).

a = 5.663 Å, b = 4.997 Å, c = 5.663 Å
α = 90.00°, β = 90.00°, γ = 90.00°
Fractional positions:
I (0.000, 0.000, 0.000)
Na (0.000, 0.000, 0.500)
Na (0.500, 0.000, 0.000)
Mo (0.500, 0.500, 0.500)
Rh (0.000, 0.500, 0.000)

Properties
SG: No. 123
volume: 32.0 Å³ per atom

---

Entry from the Alexandria database: a geometry-optimized NaSb2MoI structure (PBE).

a = 5.175 Å, b = 5.175 Å, c = 6.289 Å
α = 90.00°, β = 90.00°, γ = 90.00°
Fractional positions:
I (0.000, 0.000, 0.500)
Sb (0.000, 0.500, 0.000)
Sb (0.500, 0.000, 0.000)
Mo (0.000, 0.000, 0.000)
Na (0.500, 0.500, 0.500)

Properties
relative energy among the computed polymorphs: 0 kJ/mol of formula units
SG: No. 123
volume: 33.7 Å³ per atom

---

Entry from the Alexandria database: a geometry-optimized NaTe2MoI structure (PBE).

a = 5.247 Å, b = 5.247 Å, c = 6.175 Å
α = 90.00°, β = 90.00°, γ = 90.00°
Fractional positions:
I (0.000, 0.000, 0.500)
Na (0.500, 0.500, 0.500)
Mo (0.000, 0.000, 0.000)
Te (0.000, 0.500, 0.000)
Te (0.500, 0.000, 0.000)

Properties
relative energy among the computed polymorphs: 0 kJ/mol of formula units
SG: No. 123
volume: 34.0 Å³ per atom

---

Entry from the Alexandria database: a geometry-optimized NaTlMoI6 structure (PBE).

a = 7.931 Å, b = 7.931 Å, c = 13.947 Å
α = 90.00°, β = 90.00°, γ = 120.00°
Fractional positions:
Na (0.333, 0.667, 0.250)
Na (0.667, 0.333, 0.750)
Tl (0.000, 0.000, 0.000)
Tl (0.000, 0.000, 0.500)
Mo (0.667, 0.333, 0.250)
Mo (0.333, 0.667, 0.750)
I (0.650, 0.610, 0.134)
I (0.960, 0.350, 0.134)
I (0.350, 0.960, 0.634)
I (0.040, 0.650, 0.866)
I (0.390, 0.350, 0.366)
I (0.960, 0.610, 0.366)
I (0.610, 0.960, 0.866)
I (0.650, 0.040, 0.366)
I (0.040, 0.390, 0.634)
I (0.390, 0.040, 0.134)
I (0.610, 0.650, 0.634)
I (0.350, 0.390, 0.866)

Properties
SG: No. 163
volume: 42.2 Å³ per atom

---

Entry from the Alexandria database: a geometry-optimized NaVMo2I structure (PBE).

a = 4.819 Å, b = 4.504 Å, c = 4.819 Å
α = 90.00°, β = 90.00°, γ = 90.00°
Fractional positions:
I (0.500, 0.500, 0.500)
Na (0.000, 0.000, 0.000)
Mo (0.000, 0.000, 0.500)
Mo (0.500, 0.000, 0.000)
V (0.000, 0.500, 0.000)

Properties
SG: No. 123
volume: 20.9 Å³ per atom

---

Entry from the Alexandria database: a geometry-optimized NbMoI2 structure (PBE).

a = 4.717 Å, b = 4.717 Å, c = 9.356 Å
α = 75.40°, β = 75.40°, γ = 90.00°
Fractional positions:
I (0.630, 0.125, 0.250)
I (0.120, 0.625, 0.250)
I (0.375, 0.370, 0.750)
I (0.875, 0.880, 0.750)
Mo (0.000, 0.000, 0.000)
Mo (0.750, 0.250, 0.500)
Nb (0.500, 0.500, 0.000)
Nb (0.250, 0.750, 0.500)

Properties
relative energy among the computed polymorphs: 27 kJ/mol of formula units
SG: No. 122
volume: 24.3 Å³ per atom

---

no.,formation energy without anion corrections (eV/atom)
1,-0.66
2,-0.87
3,1.12
4,0.15
5,-0.01
6,-0.47
7,2.58
8,0.94